# 1
A plane-wave DFT calculation with GGA-PBE was carried out for a geometry-optimized AcLa4Tb2Th structure.

Structure (POSCAR):
```
AcLa4Tb2Th
1.0
-4.6675 -1.5568 1.6859
-3.7259 -2.5151 -4.6150
1.4519 -8.9247 3.8011
Ac La Tb Th
1 4 2 1
Direct
0.5000 0.5000 0.5000
0.1194 0.1259 0.6353
0.3709 0.3751 0.8832
0.8806 0.8741 0.3647
0.6291 0.6249 0.1168
0.7349 0.7683 0.7619
0.2651 0.2317 0.2381
0.0000 0.0000 0.0000
```

## Properties
energy of formation from the pure elements: 0.048 eV per atom
calculated volume: 35.93 A^3/atom
VASP energy: -5.014 eV/atom
SG: C2/m (12)

=====

# 2
A plane-wave DFT calculation with GGA-PBE was carried out for a geometry-optimized Na3Sc2BiTe6 structure.

Structure (POSCAR):
```
Na3Sc2BiTe6
1.0
-3.2251 -1.1693 -6.7020
-3.7788 -1.5483 6.3252
-0.3784 7.9397 0.2149
Na Sc Bi Te
3 2 1 6
Direct
0.1576 0.8424 0.5000
0.8424 0.1576 0.5000
0.5000 0.5000 0.5000
0.3316 0.6684 0.0000
0.6684 0.3316 0.0000
0.0000 0.0000 0.0000
0.9242 0.5748 0.7749
0.7241 0.7241 0.2221
0.0758 0.4252 0.2251
0.5748 0.9242 0.7749
0.2759 0.2759 0.7779
0.4252 0.0758 0.2251
```

## Properties
formation energy from raw total energies: -965 meV per atom
calculated volume: 30.82 A^3/atom
VASP energy: -4.245 eV/atom
SG: C2/m (12)

=====

> Which of these has the lowest calculated volume?

Na3Sc2BiTe6

=====

Copy entry 2 word for word.
A plane-wave DFT calculation with GGA-PBE was carried out for a geometry-optimized Na3Sc2BiTe6 structure.

Structure (POSCAR):
```
Na3Sc2BiTe6
1.0
-3.2251 -1.1693 -6.7020
-3.7788 -1.5483 6.3252
-0.3784 7.9397 0.2149
Na Sc Bi Te
3 2 1 6
Direct
0.1576 0.8424 0.5000
0.8424 0.1576 0.5000
0.5000 0.5000 0.5000
0.3316 0.6684 0.0000
0.6684 0.3316 0.0000
0.0000 0.0000 0.0000
0.9242 0.5748 0.7749
0.7241 0.7241 0.2221
0.0758 0.4252 0.2251
0.5748 0.9242 0.7749
0.2759 0.2759 0.7779
0.4252 0.0758 0.2251
```

## Properties
formation energy from raw total energies: -965 meV per atom
calculated volume: 30.82 A^3/atom
VASP energy: -4.245 eV/atom
SG: C2/m (12)

=====

> Look up the VASP energy of the first one.

-5.014 eV/atom

=====

> Look up the calculated volume of the first one.

35.93 A^3/atom